No. 1
First-principles (PBE) data for a relaxed KLi2Zr3S8 crystal, as listed in the Alexandria database.

Cell lengths 7.414, 7.414, 9.250 Å; angles 66.37, 66.37, 60.00 degrees
Atoms (fractional coordinates):
1 K 0.865 0.865 0.406
2 Li 0.019 0.019 0.944
3 Li 0.454 0.454 0.639
4 Zr 0.512 0.015 0.960
5 Zr 0.015 0.512 0.960
6 Zr 0.512 0.512 0.960
7 S 0.287 0.287 0.140
8 S 0.740 0.740 0.780
9 S 0.245 0.245 0.777
10 S 0.732 0.245 0.777
11 S 0.245 0.732 0.777
12 S 0.783 0.300 0.134
13 S 0.300 0.783 0.134
14 S 0.783 0.783 0.134

Values from the calculation:
space group = R3m (160)

***

No. 2
First-principles (PBE) data for a relaxed KLiZr2S4 crystal, as listed in the Alexandria database.

Cell lengths 3.815, 6.714, 13.367 Å; angles 90.00, 90.00, 106.50 degrees
Atoms (fractional coordinates):
1 K 0.113 0.226 0.750
2 K 0.887 0.774 0.250
3 Li 0.830 0.660 0.750
4 Li 0.170 0.340 0.250
5 Zr 0.378 0.756 0.559
6 Zr 0.622 0.244 0.059
7 Zr 0.622 0.244 0.441
8 Zr 0.378 0.756 0.941
9 S 0.263 0.527 0.103
10 S 0.737 0.473 0.603
11 S 0.737 0.473 0.897
12 S 0.263 0.527 0.397
13 S 0.000 0.000 0.500
14 S 0.000 0.000 0.000
15 S 0.429 0.858 0.750
16 S 0.571 0.142 0.250

Values from the calculation:
space group = Cmcm (63)

***

Density per entry: 2.48 3.61 Mg/m³
Energy relative to the elements, uncorrected per entry: -1.35 -1.45 eV per atom
Calculated volume per entry: 390.4 328.3 Å³/cell